# 1
Al2WAuI (GGA-PBE, relaxed); Fermi-level density of states = 2.601 states/eV/cell; uncorrected formation energy = 2.05 eV per atom; total magnetic moment = 4.173 μB per cell
1.0
5.454 0.000 0.000
0.000 5.454 0.000
0.000 0.000 5.165
Al W Au I
2 1 1 1
direct
0.000 0.500 0.000
0.500 0.000 0.000
0.000 0.000 0.500
0.500 0.500 0.500
0.500 0.500 0.000

---

# 2
AlWAuI2 (GGA-PBE, relaxed); Fermi-level density of states = 3.884 states/eV/cell; uncorrected formation energy = 1.30 eV per atom; total magnetic moment = 5.016 μB per cell
1.0
5.697 0.000 0.000
0.000 5.697 0.000
0.000 0.000 4.841
Al W Au I
1 1 1 2
direct
0.000 0.000 0.000
0.500 0.500 0.500
0.000 0.000 0.500
0.000 0.500 0.000
0.500 0.000 0.000

---

# 3
Al2InAu (GGA-PBE, relaxed); ΔH_f (0 K) = -8.2 kJ/mol of atoms; Fermi-level density of states = 1.326 states/eV/cell; total magnetic moment = 0.000 μB per cell
1.0
1.672 0.966 8.289
-1.672 0.966 8.289
0.000 -1.931 8.289
Al In Au
2 1 1
direct
0.239 0.239 0.239
0.761 0.761 0.761
0.000 0.000 0.000
0.500 0.500 0.500

---

# 4
AlInAu2 (GGA-PBE, relaxed); ΔH_f (0 K) = -9.5 kJ/mol of atoms; Fermi-level density of states = 3.673 states/eV/cell; total magnetic moment = 0.000 μB per cell
1.0
-3.617 3.617 3.314
3.617 -3.617 3.314
3.617 3.617 -3.314
Al In Au
2 2 4
direct
0.000 0.000 0.000
0.750 0.250 0.500
0.250 0.750 0.500
0.500 0.500 0.000
0.091 0.625 0.966
0.375 0.341 0.466
0.659 0.125 0.034
0.875 0.909 0.534

---

# 5
Al2InAu (GGA-PBE, relaxed); ΔH_f (0 K) = -2.4 kJ/mol of atoms; Fermi-level density of states = 1.375 states/eV/cell; total magnetic moment = 0.000 μB per cell
1.0
3.843 0.000 0.000
0.000 4.321 0.000
-1.287 0.000 5.105
Al In Au
2 1 1
direct
0.120 0.000 0.260
0.880 0.000 0.740
0.500 0.500 0.000
0.000 0.500 0.500

---

# 6
Al2InAu (GGA-PBE, relaxed); ΔH_f (0 K) = -3.0 kJ/mol of atoms; Fermi-level density of states = 1.183 states/eV/cell; total magnetic moment = 0.000 μB per cell
1.0
2.900 0.000 0.000
0.000 3.913 0.000
0.000 0.000 6.884
Al In Au
2 1 1
direct
0.000 0.000 0.000
0.500 0.500 0.221
0.500 0.500 0.716
0.000 0.000 0.413